# 1
# Hf2TiH8

A relaxed structure of Hf2TiH8 (PBE-GGA, Alexandria).

Properties
polymorph energy (0 for the lowest one)	0	meV/atom
calculated total energy	-5.317	eV per atom
space group	Immm
total moment	0.0	μB per formula unit
DOS at the Fermi energy	0.138	states/eV/atom

Lattice parameters (Å, degrees): 3.118 4.295 6.614 108.95 103.63 90.00
Sites, in units of the cell vectors:
H: 0.000 0.255 0.000
H: 0.629 0.355 0.258
H: 0.371 0.097 0.742
H: 0.629 0.903 0.258
H: 0.237 0.237 0.473
Hf: 0.850 0.350 0.700
Ti: 0.500 0.000 0.000
H: 0.371 0.645 0.742
H: 0.763 0.763 0.527
Hf: 0.150 0.650 0.300
H: 0.000 0.745 0.000



# 2
# Hf4TiH10

A relaxed structure of Hf4TiH10 (PBE-GGA, Alexandria).

Properties
calculated total energy	-5.923	eV per atom
space group	I4/m
total moment	0.0	μB per formula unit
DOS at the Fermi energy	0.203	states/eV/atom

Lattice parameters (Å, degrees): 4.307 5.806 5.806 82.09 68.23 68.23
Sites, in units of the cell vectors:
H: 0.562 0.098 0.291
Hf: 0.399 0.803 0.399
Ti: 0.000 0.000 0.000
H: 0.750 0.500 0.500
H: 0.660 0.291 0.902
H: 0.853 0.709 0.098
H: 0.340 0.709 0.098
H: 0.250 0.500 0.500
H: 0.438 0.902 0.709
Hf: 0.798 0.601 0.803
H: 0.951 0.902 0.709
Hf: 0.202 0.399 0.197
Hf: 0.601 0.197 0.601
H: 0.049 0.098 0.291
H: 0.147 0.291 0.902



# 3
# HfTi3H3

A relaxed structure of HfTi3H3 (PBE-GGA, Alexandria).

Properties
calculated total energy	-6.389	eV per atom
space group	R-3
total moment	0.0	μB per formula unit
DOS at the Fermi energy	0.881	states/eV/atom

Lattice parameters (Å, degrees): 5.126 5.126 7.872 71.00 71.00 60.00
Sites, in units of the cell vectors:
Ti: 0.114 0.451 0.657
H: 0.411 0.062 0.815
Ti: 0.549 0.222 0.343
H: 0.287 0.589 0.185
H: 0.062 0.713 0.815
Ti: 0.778 0.114 0.657
H: 0.938 0.287 0.185
Ti: 0.451 0.778 0.657
Ti: 0.886 0.549 0.343
H: 0.713 0.411 0.815
Hf: 0.667 0.667 0.000
Ti: 0.222 0.886 0.343
Hf: 0.333 0.333 0.000
H: 0.589 0.938 0.185



# 4
# Hf2Ti2H7

A relaxed structure of Hf2Ti2H7 (PBE-GGA, Alexandria).

Properties
polymorph energy (0 for the lowest one)	0	meV/atom
calculated total energy	-5.814	eV per atom
space group	Cmmm
total moment	0.0	μB per formula unit
DOS at the Fermi energy	0.265	states/eV/atom

Lattice parameters (Å, degrees): 4.031 4.802 4.802 86.19 90.01 90.01
Sites, in units of the cell vectors:
Ti: 0.000 0.742 0.742
H: 0.754 0.000 0.500
H: 0.000 0.000 0.000
Hf: 0.500 0.239 0.761
Hf: 0.500 0.761 0.239
H: 0.246 0.000 0.500
Ti: 0.000 0.258 0.258
H: 0.246 0.500 0.000
H: 0.237 0.500 0.500
H: 0.763 0.500 0.500
H: 0.754 0.500 0.000



# 5
# HfTiH4

A relaxed structure of HfTiH4 (PBE-GGA, Alexandria).

Properties
polymorph energy (0 for the lowest one)	214	meV/atom
calculated total energy	-5.502	eV per atom
space group	I4_1md
total moment	0.0	μB per formula unit
DOS at the Fermi energy	0.296	states/eV/atom

Lattice parameters (Å, degrees): 5.181 5.181 5.181 113.10 113.10 102.44
Sites, in units of the cell vectors:
H: 0.759 0.093 0.334
Ti: 0.252 0.252 0.000
Hf: 0.498 0.998 0.500
H: 0.843 0.009 0.834
H: 0.241 0.919 0.679
Ti: 0.002 0.502 0.500
H: 0.176 0.009 0.166
H: 0.759 0.426 0.666
H: 0.669 0.491 0.179
Hf: 0.748 0.748 0.000
H: 0.312 0.491 0.821
H: 0.241 0.562 0.321



# 6
# Hf3Ti2H4

A relaxed structure of Hf3Ti2H4 (PBE-GGA, Alexandria).

Properties
calculated total energy	-6.705	eV per atom
space group	C2/m
total moment	0.0	μB per formula unit
DOS at the Fermi energy	0.720	states/eV/atom

Lattice parameters (Å, degrees): 2.936 5.253 7.638 108.62 90.00 106.23
Sites, in units of the cell vectors:
Hf: 0.393 0.786 0.607
H: 0.089 0.177 0.623
Ti: 0.703 0.406 0.801
H: 0.911 0.823 0.377
Hf: 0.607 0.214 0.393
H: 0.668 0.337 0.050
Ti: 0.297 0.594 0.199
Hf: 0.000 0.000 0.000
H: 0.332 0.663 0.950



# 7
# Hf3TiH6

A relaxed structure of Hf3TiH6 (PBE-GGA, Alexandria).

Properties
calculated total energy	-6.188	eV per atom
space group	R-3
total moment	0.0	μB per formula unit
DOS at the Fermi energy	0.336	states/eV/atom

Lattice parameters (Å, degrees): 5.794 5.794 5.794 90.05 90.05 90.05
Sites, in units of the cell vectors:
H: 0.700 0.133 0.989
H: 0.365 0.202 0.507
Ti: 0.000 0.000 0.000
Hf: 0.250 0.508 0.006
Hf: 0.994 0.750 0.492
Hf: 0.750 0.492 0.994
Hf: 0.006 0.250 0.508
H: 0.635 0.798 0.493
H: 0.011 0.300 0.867
H: 0.300 0.867 0.011
H: 0.202 0.507 0.365
Hf: 0.492 0.994 0.750
H: 0.798 0.493 0.635
H: 0.493 0.635 0.798
Ti: 0.500 0.500 0.500
H: 0.507 0.365 0.202
H: 0.867 0.011 0.300
H: 0.989 0.700 0.133
Hf: 0.508 0.006 0.250
H: 0.133 0.989 0.700



# 8
# HfTi2H8

A relaxed structure of HfTi2H8 (PBE-GGA, Alexandria).

Properties
polymorph energy (0 for the lowest one)	0	meV/atom
calculated total energy	-5.085	eV per atom
space group	C2/m
total moment	0.0	μB per formula unit
DOS at the Fermi energy	0.312	states/eV/atom

Lattice parameters (Å, degrees): 3.234 4.534 5.516 114.27 105.13 90.00
Sites, in units of the cell vectors:
H: 0.000 0.282 0.000
H: 0.641 0.434 0.328
H: 0.116 0.161 0.323
Hf: 0.500 0.000 0.000
Ti: 0.154 0.672 0.344
Ti: 0.846 0.328 0.656
H: 0.884 0.839 0.677
H: 0.359 0.106 0.672
H: 0.000 0.718 0.000
H: 0.359 0.566 0.672
H: 0.641 0.894 0.328



# 9
# Hf2TiH8

A relaxed structure of Hf2TiH8 (PBE-GGA, Alexandria).

Properties
polymorph energy (0 for the lowest one)	13	meV/atom
calculated total energy	-5.304	eV per atom
space group	C2/m
total moment	0.1	μB per formula unit
DOS at the Fermi energy	0.312	states/eV/atom

Lattice parameters (Å, degrees): 3.182 4.696 6.044 112.61 105.26 90.00
Each line ends with the local moment (μB).
Sites, in units of the cell vectors:
H: 0.583 0.427 0.166  0.00
H: 0.222 0.312 0.444  0.00
Ti: 0.500 0.000 0.000  0.10
H: 0.665 0.943 0.329  0.00
Hf: 0.164 0.649 0.328  0.00
H: 0.417 0.573 0.834  0.00
Hf: 0.836 0.351 0.672  0.00
H: 0.335 0.057 0.671  0.00
H: 0.778 0.688 0.556  0.00
H: 0.010 0.774 0.021  0.00
H: 0.990 0.226 0.979  0.00



# 10
# HfTi2H4

A relaxed structure of HfTi2H4 (PBE-GGA, Alexandria).

Properties
polymorph energy (0 for the lowest one)	0	meV/atom
calculated total energy	-6.057	eV per atom
space group	Fd-3m
total moment	0.0	μB per formula unit
DOS at the Fermi energy	0.370	states/eV/atom

Lattice parameters (Å, degrees): 5.702 5.702 5.698 120.00 120.00 89.99
Sites, in units of the cell vectors:
Ti: 0.125 0.375 0.750
Ti: 0.625 0.875 0.250
H: 0.393 0.607 0.215
H: 0.393 0.607 0.785
H: 0.393 0.178 0.785
H: 0.857 0.572 0.715
H: 0.822 0.607 0.215
H: 0.428 0.143 0.285
H: 0.857 0.143 0.715
Ti: 0.625 0.375 0.250
H: 0.857 0.143 0.285
Ti: 0.625 0.375 0.750
Hf: 0.250 0.750 0.500
Hf: 0.000 0.000 0.000



# 11
# HfTi2TlH

A relaxed structure of HfTi2TlH (PBE-GGA, Alexandria).

Properties
polymorph energy (0 for the lowest one)	0	meV/atom
calculated total energy	-6.427	eV per atom
space group	P4/mmm
total moment	0.0	μB per formula unit
DOS at the Fermi energy	0.913	states/eV/atom

Lattice parameters (Å, degrees): 4.277 4.277 4.287 90.00 90.00 90.00
Sites, in units of the cell vectors:
Tl: 0.500 0.500 0.500
H: 0.000 0.000 0.000
Hf: 0.000 0.000 0.500
Ti: 0.500 0.000 0.000
Ti: 0.000 0.500 0.000



# 12
# HfTi2TlH

A relaxed structure of HfTi2TlH (PBE-GGA, Alexandria).

Properties
polymorph energy (0 for the lowest one)	180	meV/atom
calculated total energy	-6.247	eV per atom
space group	P4/mmm
total moment	0.0	μB per formula unit
DOS at the Fermi energy	1.385	states/eV/atom

Lattice parameters (Å, degrees): 4.105 4.105 4.819 90.00 90.00 90.00
Sites, in units of the cell vectors:
Ti: 0.000 0.500 0.000
Tl: 0.000 0.000 0.500
H: 0.000 0.000 0.000
Ti: 0.500 0.000 0.000
Hf: 0.500 0.500 0.500



# 13
# HfTi2VH

A relaxed structure of HfTi2VH (PBE-GGA, Alexandria).

Properties
polymorph energy (0 for the lowest one)	0	meV/atom
calculated total energy	-7.628	eV per atom
space group	P4/mmm
total moment	0.8	μB per formula unit
DOS at the Fermi energy	1.338	states/eV/atom

Lattice parameters (Å, degrees): 3.966 3.966 4.607 90.00 90.00 90.00
Each line ends with the local moment (μB).
Sites, in units of the cell vectors:
H: 0.000 0.000 0.000  0.00
Ti: 0.000 0.500 0.000  -0.21
Ti: 0.500 0.000 0.000  -0.21
V: 0.500 0.500 0.500  1.08
Hf: 0.000 0.000 0.500  0.06



# 14
# Hf2TiVH

A relaxed structure of Hf2TiVH (PBE-GGA, Alexandria).

Properties
calculated total energy	-8.061	eV per atom
space group	P4/mmm
total moment	0.1	μB per formula unit
DOS at the Fermi energy	1.204	states/eV/atom

Lattice parameters (Å, degrees): 4.663 4.663 3.574 90.00 90.00 90.00
Each line ends with the local moment (μB).
Sites, in units of the cell vectors:
V: 0.000 0.000 0.500  1.21
Hf: 0.500 0.000 0.000  -0.15
Hf: 0.000 0.500 0.000  -0.15
Ti: 0.500 0.500 0.500  -0.87
H: 0.000 0.000 0.000  -0.01



# 15
# HfTi2VH

A relaxed structure of HfTi2VH (PBE-GGA, Alexandria).

Properties
polymorph energy (0 for the lowest one)	8	meV/atom
calculated total energy	-7.620	eV per atom
space group	P4/mmm
total moment	0.4	μB per formula unit
DOS at the Fermi energy	1.371	states/eV/atom

Lattice parameters (Å, degrees): 4.030 4.030 4.417 90.00 90.00 90.00
Each line ends with the local moment (μB).
Sites, in units of the cell vectors:
H: 0.000 0.000 0.000  0.00
V: 0.000 0.000 0.500  0.58
Ti: 0.000 0.500 0.000  -0.11
Ti: 0.500 0.000 0.000  -0.11
Hf: 0.500 0.500 0.500  0.02



# 16
# Hf2TiZnH

A relaxed structure of Hf2TiZnH (PBE-GGA, Alexandria).

Properties
polymorph energy (0 for the lowest one)	113	meV/atom
calculated total energy	-6.577	eV per atom
space group	P4/mmm
total moment	0.0	μB per formula unit
DOS at the Fermi energy	0.618	states/eV/atom

Lattice parameters (Å, degrees): 4.290 4.290 4.185 90.00 90.00 90.00
Sites, in units of the cell vectors:
Hf: 0.500 0.000 0.000
Ti: 0.500 0.500 0.500
Zn: 0.000 0.000 0.500
H: 0.000 0.000 0.000
Hf: 0.000 0.500 0.000



# 17
# Hf2TiZnH

A relaxed structure of Hf2TiZnH (PBE-GGA, Alexandria).

Properties
polymorph energy (0 for the lowest one)	0	meV/atom
calculated total energy	-6.690	eV per atom
space group	P4/mmm
total moment	0.0	μB per formula unit
DOS at the Fermi energy	0.373	states/eV/atom

Lattice parameters (Å, degrees): 4.308 4.308 4.127 90.00 90.00 90.00
Sites, in units of the cell vectors:
Hf: 0.000 0.500 0.000
Hf: 0.500 0.000 0.000
H: 0.000 0.000 0.000
Zn: 0.500 0.500 0.500
Ti: 0.000 0.000 0.500



# 18
# HfZr2TiH

A relaxed structure of HfZr2TiH (PBE-GGA, Alexandria).

Properties
polymorph energy (0 for the lowest one)	18	meV/atom
calculated total energy	-7.710	eV per atom
space group	P4/mmm
total moment	0.0	μB per formula unit
DOS at the Fermi energy	1.275	states/eV/atom

Lattice parameters (Å, degrees): 4.446 4.446 4.447 90.00 90.00 90.00
Sites, in units of the cell vectors:
Hf: 0.000 0.000 0.500
Zr: 0.500 0.000 0.000
Ti: 0.500 0.500 0.500
Zr: 0.000 0.500 0.000
H: 0.000 0.000 0.000



# 19
# Hf2ZrTiH

A relaxed structure of Hf2ZrTiH (PBE-GGA, Alexandria).

Properties
polymorph energy (0 for the lowest one)	0	meV/atom
calculated total energy	-7.987	eV per atom
space group	P4/mmm
total moment	0.0	μB per formula unit
DOS at the Fermi energy	1.792	states/eV/atom

Lattice parameters (Å, degrees): 4.475 4.475 4.312 90.00 90.00 90.00
Sites, in units of the cell vectors:
Hf: 0.000 0.500 0.000
Ti: 0.000 0.000 0.500
Hf: 0.500 0.000 0.000
Zr: 0.500 0.500 0.500
H: 0.000 0.000 0.000



# 20
# Hf2ZrTiH

A relaxed structure of Hf2ZrTiH (PBE-GGA, Alexandria).

Properties
polymorph energy (0 for the lowest one)	8	meV/atom
calculated total energy	-7.978	eV per atom
space group	P4/mmm
total moment	0.0	μB per formula unit
DOS at the Fermi energy	1.381	states/eV/atom

Lattice parameters (Å, degrees): 4.455 4.455 4.388 90.00 90.00 90.00
Sites, in units of the cell vectors:
Zr: 0.000 0.000 0.500
Hf: 0.000 0.500 0.000
Ti: 0.500 0.500 0.500
Hf: 0.500 0.000 0.000
H: 0.000 0.000 0.000